(1)
The following is a GGA-PBE calculation of crystalline BaLi4Ho at its relaxed geometry, from Alexandria.

Results
Crystal system ... cubic
Formation energy ... 0.9 eV per formula unit
M_tot ... 0.0 μB per formula unit

a b c (Å): 6.212 6.212 6.212
angles (deg): 60.00 60.00 60.00
Sites, in units of the cell vectors:
Ho  0.000  0.000  0.000
Li  0.628  0.117  0.628
Ba  0.250  0.250  0.250
Li  0.117  0.628  0.628
Li  0.628  0.628  0.628
Li  0.628  0.628  0.117

(2)
The following is a GGA-PBE calculation of crystalline BaLiHoO3 at its relaxed geometry, from Alexandria.

Results
E_form (uncorrected) ... -2.67 eV/atom
Crystal system ... hexagonal
M_tot ... 0.0 μB per formula unit

a b c (Å): 6.024 6.024 6.133
angles (deg): 90.00 90.00 120.00
Sites, in units of the cell vectors:
O  0.839  0.679  0.750
Ba  0.333  0.667  0.750
Ho  0.000  0.000  0.500
Li  0.333  0.667  0.250
O  0.679  0.839  0.250
O  0.161  0.321  0.250
O  0.321  0.161  0.750
Ho  0.000  0.000  0.000
Li  0.667  0.333  0.750
O  0.839  0.161  0.750
O  0.161  0.839  0.250
Ba  0.667  0.333  0.250

(3)
The following is a GGA-PBE calculation of crystalline BaLiHo2S4 at its relaxed geometry, from Alexandria.

Results
E_form (uncorrected) ... -1.95 eV/atom
Crystal system ... orthorhombic
M_tot ... 0.0 μB per formula unit

a b c (Å): 4.041 6.966 13.655
angles (deg): 90.00 90.00 106.86
Sites, in units of the cell vectors:
Ho  0.372  0.745  0.555
S  0.264  0.527  0.388
Ho  0.372  0.745  0.945
Ho  0.628  0.255  0.445
S  0.736  0.473  0.612
Li  0.842  0.685  0.750
Li  0.158  0.315  0.250
S  0.000  0.000  0.500
S  0.000  0.000  0.000
Ba  0.885  0.771  0.250
Ho  0.628  0.255  0.055
Ba  0.115  0.229  0.750
S  0.567  0.133  0.250
S  0.433  0.867  0.750
S  0.264  0.527  0.112
S  0.736  0.473  0.888

(4)
The following is a GGA-PBE calculation of crystalline BaLiHoSe3 at its relaxed geometry, from Alexandria.

Results
E_form (uncorrected) ... -1.81 eV/atom
Crystal system ... monoclinic
M_tot ... 0.0 μB per formula unit

a b c (Å): 4.248 8.849 9.309
angles (deg): 105.48 90.00 90.00
Sites, in units of the cell vectors:
Li  0.250  0.086  0.592
Se  0.750  0.885  0.131
Se  0.250  0.115  0.869
Ba  0.250  0.197  0.245
Ba  0.750  0.803  0.755
Se  0.250  0.788  0.474
Ho  0.250  0.672  0.158
Se  0.250  0.549  0.837
Li  0.750  0.914  0.408
Ho  0.750  0.328  0.842
Se  0.750  0.212  0.526
Se  0.750  0.451  0.163